First-principles (GGA-PBE) data for NaSrCa2 after structural relaxation, as listed in Alexandria via LeMat-Bulk.

Lattice parameters (Å, degrees): 4.207 4.207 9.861 90.00 90.00 90.00
Space group P4/mmm (No. 123)
Asymmetric unit:
Na (0.000, 0.000, 0.000) (multiplicity 1)
Sr (0.000, 0.000, 0.500) (multiplicity 1)
Ca (0.500, 0.500, 0.220) (multiplicity 2)

Output
energy above the most stable polymorph in this dataset	0.9	kJ/mol of atoms
Fermi-level density of states	3.2	states/eV per cell
calculated density	1.81	g/cm³
DFT formation energy	0.0426	eV per atom

First-principles (GGA-PBE) data for GaTePt2 after structural relaxation, as listed in Alexandria via LeMat-Bulk.

Lattice parameters (Å, degrees): 4.480 4.480 16.329 90.00 90.00 90.00
Space group I-42d (No. 122)
Asymmetric unit:
Ga (0.000, 0.000, 0.000) (multiplicity 4)
Te (0.000, 0.000, 0.500) (multiplicity 4)
Pt (0.232, 0.250, 0.125) (multiplicity 8)

Output
energy above the most stable polymorph in this dataset	0.0	kJ/mol of atoms
Fermi-level density of states	7.3	states/eV per cell
raw formation energy	-212	meV per atom
calculated density	11.90	g/cm³

First-principles (GGA-PBE) data for CrRe2Si after structural relaxation, as listed in Alexandria via LeMat-Bulk.

Lattice parameters (Å, degrees): 2.7587 2.7587 25.1393 90.00 90.00 120.00
Space group R3m (No. 160, hexagonal axes)
Asymmetric unit:
Cr (0.0000, 0.0000, 0.0000) (multiplicity 3)
Re (0.0000, 0.0000, 0.5046) (multiplicity 3)
Re (0.0000, 0.0000, 0.7499) (multiplicity 3)
Si (0.0000, 0.0000, 0.2565) (multiplicity 3)

Output
Fermi-level density of states	12.0	states/eV per cell
raw formation energy	69	meV per atom
calculated density	13.60	g/cm³

First-principles (GGA-PBE) data for Ca3EuP after structural relaxation, as listed in Alexandria via LeMat-Bulk.

Lattice parameters (Å, degrees): 5.696 5.696 5.696 90.00 90.00 90.00
Space group Pm-3m (No. 221)
Asymmetric unit:
Ca (0.000, 0.000, 0.500) (multiplicity 3)
Eu (0.500, 0.500, 0.500) (multiplicity 1)
P (0.000, 0.000, 0.000) (multiplicity 1)

Output
Fermi-level density of states	15.4	states/eV per cell
calculated density	2.72	g/cm³
DFT formation energy	-0.4408	eV per atom

First-principles (GGA-PBE) data for BaInP2O after structural relaxation, as listed in Alexandria via LeMat-Bulk.

Lattice parameters (Å, degrees): 6.350 6.350 4.862 90.00 90.00 90.00
Space group P4/mmm (No. 123)
Asymmetric unit:
Ba (0.000, 0.000, 0.000) (multiplicity 1)
In (0.500, 0.500, 0.500) (multiplicity 1)
P (0.000, 0.500, 0.000) (multiplicity 2)
O (0.000, 0.000, 0.500) (multiplicity 1)

Output
energy above the most stable polymorph in this dataset	82.9	kJ/mol of atoms
Fermi-level density of states	3.4	states/eV per cell
raw formation energy	600	meV per atom
calculated density	2.80	g/cm³

First-principles (GGA-PBE) data for PrThAgPt after structural relaxation, as listed in Alexandria via LeMat-Bulk.

Lattice parameters (Å, degrees): 7.368 7.368 7.368 90.00 90.00 90.00
Space group F-43m (No. 216)
Asymmetric unit:
Pr (0.000, 0.000, 0.000) (multiplicity 4)
Th (0.000, 0.000, 0.500) (multiplicity 4)
Ag (0.250, 0.250, 0.750) (multiplicity 4)
Pt (0.250, 0.250, 0.250) (multiplicity 4)

Output
Fermi-level density of states	13.5	states/eV per cell
calculated density	11.23	g/cm³
DFT formation energy	-0.5519	eV per atom